Here is a relaxed TlSbAsSe2 crystal from the Alexandria database. Energies are from PBEsol.

The uncorrected energy comes out at -15.932 eV for the cell shown. Its crystal system is tetragonal. The calculation puts the formation energy without anion corrections at 0.81 eV/atom.

CIF file:
```
data_TlSbAsSe2
_space_group_name_H-M_alt 'P 4/m m m'
_space_group_IT_number 123
_space_group_name_Hall '-P 4 2'
_cell_length_a 5.211
_cell_length_b 5.211
_cell_length_c 5.195
_cell_angle_alpha 90.00
_cell_angle_beta 90.00
_cell_angle_gamma 90.00
loop_
_atom_site_label
_atom_site_fract_x
_atom_site_fract_y
_atom_site_fract_z
Tl1 0.000 0.000 0.000
Sb1 0.500 0.500 0.500
As1 0.000 0.000 0.500
Se1 0.000 0.500 0.000
```